Record 1
VASP calculation (PBEsol) on a relaxed Li2PbSe crystal.

abc: 3.9280 4.1760 4.8201
angles: 90.00 90.00 90.00
With the nearest neighbours (Å) after each atom.
Fractional coordinates of all 4 atoms:
Li: 0.0000 0.0000 0.0000  4 Se 2.87, 4 Pb 3.11, 4 Li 3.19
Li: 0.0000 0.5000 0.5000  4 Pb 2.87, 4 Se 3.11, 4 Li 3.19
Pb: 0.5000 0.0000 0.5000  8 Li 2.87-3.11, 4 Se 3.19
Se: 0.5000 0.5000 0.0000  8 Li 2.87-3.11, 4 Pb 3.19

M_tot ... 0.0 μB/f.u.
SG ... Pmmm
Formation energy from raw total energies ... -0.569 eV per atom
Energy ... -3.51 eV/atom
Calculated volume ... 19.8 A^3/atom



Record 2
VASP calculation (PBEsol) on a relaxed Na4MoS3O14 crystal.

abc: 8.5352 9.3144 15.0716
angles: 90.00 90.00 90.00
With the nearest neighbours (Å) after each atom.
Fractional coordinates of all 88 atoms:
Na: 0.0636 0.0349 0.2876  5 O 2.29-2.44
Na: 0.1687 0.9882 0.0299  5 O 2.32-2.59
Na: 0.1978 0.2599 0.6826  6 O 2.36-2.64
Na: 0.1997 0.5770 0.8352  5 O 2.30-2.49
Na: 0.3003 0.4230 0.3352  5 O 2.30-2.49
Na: 0.3022 0.7401 0.1826  6 O 2.36-2.64
Na: 0.3313 0.0118 0.5299  5 O 2.32-2.59
Na: 0.4364 0.9651 0.7876  5 O 2.29-2.44
Na: 0.5636 0.4651 0.7124  5 O 2.29-2.44
Na: 0.6687 0.5118 0.9701  5 O 2.32-2.59
Na: 0.6978 0.2401 0.3174  6 O 2.36-2.64
Na: 0.6997 0.9230 0.1648  5 O 2.30-2.49
Na: 0.8003 0.0770 0.6648  5 O 2.30-2.49
Na: 0.8022 0.7599 0.8174  6 O 2.36-2.64
Na: 0.8313 0.4882 0.4701  5 O 2.32-2.59
Na: 0.9364 0.5349 0.2124  5 O 2.29-2.44
Mo: 0.2246 0.6082 0.5732  2 O 1.69-1.72
Mo: 0.2754 0.3918 0.0732  2 O 1.69-1.72
Mo: 0.7246 0.8918 0.4268  2 O 1.69-1.72
Mo: 0.7754 0.1082 0.9268  2 O 1.69-1.72
S: 0.0286 0.6405 0.0127  4 O 1.46-1.57
S: 0.0763 0.7035 0.3816  4 O 1.46-1.51
S: 0.1299 0.8763 0.7061  4 O 1.46-1.55
S: 0.3701 0.1237 0.2061  4 O 1.46-1.55
S: 0.4237 0.2965 0.8816  4 O 1.46-1.51
S: 0.4714 0.3595 0.5127  4 O 1.46-1.57
S: 0.5286 0.8595 0.9873  4 O 1.46-1.57
S: 0.5763 0.7965 0.6184  4 O 1.46-1.51
S: 0.6299 0.6237 0.2939  4 O 1.46-1.55
S: 0.8701 0.3763 0.7939  4 O 1.46-1.55
S: 0.9237 0.2035 0.1184  4 O 1.46-1.51
S: 0.9714 0.1405 0.4873  4 O 1.46-1.57
O: 0.0030 0.1999 0.5753  1 S 1.46
O: 0.0315 0.4078 0.7677  1 S 1.46
O: 0.0551 0.5190 0.5552  1 Mo 1.69
O: 0.0687 0.5510 0.3560  1 S 1.47
O: 0.0776 0.2421 0.0763  1 S 1.50
O: 0.1081 0.7432 0.0714  1 S 1.47
O: 0.1094 0.0775 0.4446  1 S 1.47
O: 0.1120 0.7946 0.3051  1 S 1.46
O: 0.1152 0.7727 0.6264  1 S 1.55
O: 0.1458 0.5152 0.9928  1 S 1.57
O: 0.2019 0.4735 0.1667  1 Mo 1.72
O: 0.2017 0.7248 0.4512  1 S 1.51
O: 0.2136 0.0044 0.6746  1 S 1.47
O: 0.2206 0.8026 0.7749  1 S 1.46
O: 0.2794 0.1974 0.2749  1 S 1.46
O: 0.2864 0.9956 0.1746  1 S 1.47
O: 0.2983 0.2752 0.9512  1 S 1.51
O: 0.2981 0.5265 0.6667  1 Mo 1.72
O: 0.3542 0.4848 0.4928  1 S 1.57
O: 0.3848 0.2273 0.1264  1 S 1.55
O: 0.3880 0.2054 0.8051  1 S 1.46
O: 0.3906 0.9225 0.9446  1 S 1.47
O: 0.3919 0.2568 0.5714  1 S 1.47
O: 0.4224 0.7579 0.5763  1 S 1.50
O: 0.4313 0.4490 0.8560  1 S 1.47
O: 0.4449 0.4810 0.0552  1 Mo 1.69
O: 0.4685 0.5922 0.2677  1 S 1.46
O: 0.4970 0.8001 0.0753  1 S 1.46
O: 0.5030 0.3001 0.4247  1 S 1.46
O: 0.5315 0.0922 0.2323  1 S 1.46
O: 0.5551 0.9810 0.4448  1 Mo 1.69
O: 0.5687 0.9490 0.6440  1 S 1.47
O: 0.5776 0.2579 0.9237  1 S 1.50
O: 0.6081 0.7568 0.9286  1 S 1.47
O: 0.6094 0.4225 0.5554  1 S 1.47
O: 0.6120 0.7054 0.6949  1 S 1.46
O: 0.6152 0.7273 0.3736  1 S 1.55
O: 0.6458 0.9848 0.0072  1 S 1.57
O: 0.7019 0.0265 0.8333  1 Mo 1.72
O: 0.7017 0.7752 0.5488  1 S 1.51
O: 0.7136 0.4956 0.3254  1 S 1.47
O: 0.7206 0.6974 0.2251  1 S 1.46
O: 0.7794 0.3026 0.7251  1 S 1.46
O: 0.7864 0.5044 0.8254  1 S 1.47
O: 0.7983 0.2248 0.0488  1 S 1.51
O: 0.7981 0.9735 0.3333  1 Mo 1.72
O: 0.8542 0.0152 0.5072  1 S 1.57
O: 0.8848 0.2727 0.8736  1 S 1.55
O: 0.8880 0.2946 0.1949  1 S 1.46
O: 0.8906 0.5775 0.0554  1 S 1.47
O: 0.8919 0.2432 0.4286  1 S 1.47
O: 0.9224 0.7421 0.4237  1 S 1.50
O: 0.9313 0.0510 0.1440  1 S 1.47
O: 0.9449 0.0190 0.9448  1 Mo 1.69
O: 0.9685 0.9078 0.7323  1 S 1.46
O: 0.9970 0.6999 0.9247  1 S 1.46

M_tot ... 0.1 μB/f.u.
SG ... P2_12_12_1
Formation energy from raw total energies ... -1.778 eV per atom
Energy ... -6.51 eV/atom
Calculated volume ... 13.6 A^3/atom



Record 3
VASP calculation (PBEsol) on a relaxed Ca4Sb2S crystal.

abc: 7.9234 7.9234 7.9234
angles: 110.46 110.46 107.50
With the nearest neighbours (Å) after each atom.
Fractional coordinates of all 14 atoms:
Ca: 0.1256 0.0055 0.7382  1 S 2.91, 3 Sb 3.03-3.26
Ca: 0.1375 0.5174 0.7618  1 S 2.91, 3 Sb 3.03-3.26
Ca: 0.2674 0.3875 0.2618  1 S 2.91, 3 Sb 3.03-3.26
Ca: 0.4826 0.2445 0.6201  1 S 2.91, 3 Sb 3.03-3.26
Ca: 0.6125 0.8744 0.8799  1 S 2.91, 3 Sb 3.03-3.26
Ca: 0.6244 0.8625 0.3799  1 S 2.91, 3 Sb 3.03-3.26
Ca: 0.7555 0.3756 0.2382  1 S 2.91, 3 Sb 3.03-3.26
Ca: 0.9945 0.7326 0.1201  1 S 2.91, 3 Sb 3.03-3.26
Sb: 0.0007 0.1250 0.3757  8 Ca 3.03-3.36
Sb: 0.3750 0.9993 0.1243  8 Ca 3.03-3.36
Sb: 0.7493 0.6250 0.6243  8 Ca 3.03-3.36
Sb: 0.8750 0.2507 0.8757  8 Ca 3.03-3.36
S: 0.2500 0.7500 0.5000  4 Ca 2.91
S: 0.5000 0.5000 0.0000  4 Ca 2.91

M_tot ... 0.0 μB/f.u.
SG ... I-42d
Formation energy from raw total energies ... -1.309 eV per atom
Energy ... -4.46 eV/atom
Calculated volume ... 27.3 A^3/atom



Record 4
VASP calculation (PBEsol) on a relaxed TlWCl crystal.

abc: 4.8606 4.8606 4.8606
angles: 60.00 60.00 60.00
With the nearest neighbours (Å) after each atom.
Fractional coordinates of all 3 atoms:
Tl: 0.0000 0.0000 0.0000  4 W 2.98, 4 Cl 2.98
W: 0.7500 0.7500 0.7500  4 Tl 2.98
Cl: 0.2500 0.2500 0.2500  4 Tl 2.98

M_tot ... 4.2 μB/f.u.
Excess energy over the best structure of this formula in the dataset ... 1.307 eV/atom
SG ... F-43m
Formation energy from raw total energies ... 1.879 eV per atom
Energy ... -4.27 eV/atom
Calculated volume ... 27.1 A^3/atom



Record 5
VASP calculation (PBEsol) on a relaxed CaScTe2N crystal.

abc: 5.6926 5.6926 4.2496
angles: 90.00 90.00 90.00
With the nearest neighbours (Å) after each atom.
Fractional coordinates of all 5 atoms:
Ca: 0.0000 0.0000 0.0000  2 N 2.12
Sc: 0.5000 0.5000 0.5000  8 Te 3.55
Te: 0.0000 0.5000 0.0000  2 Ca 2.85
Te: 0.5000 0.0000 0.0000  2 Ca 2.85
N: 0.0000 0.0000 0.5000  2 Ca 2.12

M_tot ... 2.0 μB/f.u.
SG ... P4/mmm
Formation energy from raw total energies ... 0.280 eV per atom
Energy ... -4.58 eV/atom
Calculated volume ... 27.5 A^3/atom



Record 6
VASP calculation (PBEsol) on a relaxed BaNaTeI2 crystal.

abc: 5.6968 5.6968 5.7957
angles: 90.00 90.00 90.00
With the nearest neighbours (Å) after each atom.
Fractional coordinates of all 5 atoms:
Ba: 0.0000 0.0000 0.0000  4 Te 4.03, 8 I 4.06
Na: 0.5000 0.5000 0.5000  4 I 2.85, 2 Te 2.90
Te: 0.5000 0.5000 0.0000  2 Na 2.90
I: 0.0000 0.5000 0.5000  2 Na 2.85
I: 0.5000 0.0000 0.5000  2 Na 2.85

M_tot ... 0.9 μB/f.u.
SG ... P4/mmm
Formation energy from raw total energies ... -0.938 eV per atom
Energy ... -3.06 eV/atom
Calculated volume ... 37.6 A^3/atom